First-principles (GGA-PBE) data for crystalline K2PuS3 at its relaxed geometry, as listed in the Alexandria database.

- Symmetry: Cmmm
- Final energy: -6.116 eV per atom
- Calculated volume: 177 Å³ per cell
- Formation energy (no corrections): -1.298 eV per atom

a = 7.9492 Å, b = 7.9492 Å, c = 4.1305 Å
α = 90.00°, β = 90.00°, γ = 137.37°
Last column: nearest neighbours and their distance in Å.
Positions (direct):
K (0.1608, 0.8392, 0.0000)  5 S 2.96-3.29
K (0.8392, 0.1608, 0.0000)  5 S 2.96-3.29
Pu (0.5000, 0.5000, 0.5000)  6 S 2.70-2.89
S (0.0000, 0.0000, 0.5000)  2 Pu 2.89, 4 K 3.15
S (0.3828, 0.6172, 0.0000)  2 Pu 2.70, 2 K 2.96
S (0.6172, 0.3828, 0.0000)  2 Pu 2.70, 2 K 2.96

=====

First-principles (GGA-PBE) data for crystalline KPu2S3 at its relaxed geometry, as listed in the Alexandria database.

- Symmetry: P6_3/mmc
- Final energy: -8.677 eV per atom
- Calculated volume: 304 Å³ per cell
- Formation energy (no corrections): -1.653 eV per atom

a = 4.0647 Å, b = 4.0647 Å, c = 21.2493 Å
α = 90.00°, β = 90.00°, γ = 120.00°
Last column: nearest neighbours and their distance in Å.
Positions (direct):
K (0.0000, 0.0000, 0.2500)  6 S 3.23
K (0.0000, 0.0000, 0.7500)  6 S 3.23
Pu (0.3333, 0.6667, 0.0774)  6 S 2.76-2.87
Pu (0.3333, 0.6667, 0.4226)  6 S 2.76-2.87
Pu (0.6667, 0.3333, 0.5774)  6 S 2.76-2.87
Pu (0.6667, 0.3333, 0.9226)  6 S 2.76-2.87
S (0.0000, 0.0000, 0.0000)  6 Pu 2.87
S (0.0000, 0.0000, 0.5000)  6 Pu 2.87
S (0.3333, 0.6667, 0.6459)  3 Pu 2.76
S (0.3333, 0.6667, 0.8541)  3 Pu 2.76
S (0.6667, 0.3333, 0.1459)  3 Pu 2.76
S (0.6667, 0.3333, 0.3541)  3 Pu 2.76

=====

First-principles (GGA-PBE) data for crystalline KPuS4 at its relaxed geometry, as listed in the Alexandria database.

- Symmetry: P4/nbm
- Final energy: -6.370 eV per atom
- Calculated volume: 285 Å³ per cell
- Formation energy (no corrections): -1.047 eV per atom

a = 5.9528 Å, b = 5.9528 Å, c = 8.0424 Å
α = 90.00°, β = 90.00°, γ = 90.00°
Last column: nearest neighbours and their distance in Å.
Positions (direct):
K (0.2500, 0.2500, 0.0000)  8 S 3.34
K (0.7500, 0.7500, 0.0000)  8 S 3.34
Pu (0.2500, 0.2500, 0.5000)  8 S 2.87
Pu (0.7500, 0.7500, 0.5000)  8 S 2.87
S (0.1242, 0.6242, 0.2957)  1 S 2.12
S (0.1242, 0.8758, 0.7043)  1 S 2.12
S (0.3758, 0.6242, 0.7043)  1 S 2.12
S (0.3758, 0.8758, 0.2957)  1 S 2.12
S (0.6242, 0.1242, 0.7043)  1 S 2.12
S (0.6242, 0.3758, 0.2957)  1 S 2.12
S (0.8758, 0.1242, 0.2957)  1 S 2.12
S (0.8758, 0.3758, 0.7043)  1 S 2.12